A plane-wave DFT calculation with PBE was carried out for a relaxed structure of Ta2As2Au.

The calculation puts the uncorrected energy at -7.305 eV/atom. Its crystal system is tetragonal. As for the formation energy: -49 meV per atom.

abc: 7.3756 7.3756 3.2412
angles: 90.00 90.00 90.00
Space group P4/mbm (No. 127)
Inequivalent atoms, fractional coordinates:
Ta1 0.1407 0.3593 0.0000 x4
As1 0.1494 0.6494 0.5000 x4
Au1 0.0000 0.0000 0.5000 x2

***

A plane-wave DFT calculation with PBE was carried out for a relaxed structure of PuNi5Au7.

The calculation puts the uncorrected energy at -5.178 eV/atom. Its crystal system is orthorhombic. As for the formation energy: -88 meV per atom.

abc: 5.1970 8.9795 9.0452
angles: 90.00 90.00 90.00
Space group Imm2 (No. 44)
Inequivalent atoms, fractional coordinates:
Pu1 0.0000 0.0000 0.0000 x2
Ni1 0.0000 0.5000 0.2743 x2
Ni2 0.2492 0.2570 0.2551 x8
Au1 0.0000 0.0000 0.3439 x2
Au2 0.0000 0.0000 0.6694 x2
Au3 0.0000 0.2962 0.4998 x4
Au4 0.0000 0.3411 0.0108 x4
Au5 0.0000 0.5000 0.7312 x2

***

A plane-wave DFT calculation with PBE was carried out for a relaxed structure of Fe2OsS2.

The calculation puts the uncorrected energy at -7.013 eV/atom. Its crystal system is tetragonal. Its uncorrected formation energy is 26.0 kJ per mole of atoms.

abc: 6.4851 6.4851 2.9122
angles: 90.00 90.00 90.00
Space group P4/mbm (No. 127)
Inequivalent atoms, fractional coordinates:
Fe1 0.1439 0.3561 0.0000 x4
Os1 0.0000 0.0000 0.5000 x2
S1 0.1626 0.6626 0.5000 x4

***

A plane-wave DFT calculation with PBE was carried out for a relaxed structure of TlFeIr2.

The calculation puts the uncorrected energy at -6.707 eV/atom. Its crystal system is monoclinic. As for the formation energy: 431 meV per atom.

abc: 2.9021 4.5281 4.9115
angles: 90.00 90.07 90.00
Space group Pm (No. 6)
Inequivalent atoms, fractional coordinates:
Tl1 0.0000 0.0000 0.0000 x1
Fe1 0.4996 0.5000 0.2148 x1
Ir1 0.0017 0.5000 0.6558 x1
Ir2 0.5012 0.0000 0.4953 x1

***

> What is the formula in the second record?

PuNi5Au7